Record 1
Density functional theory data (PBE) for an optimized crystal structure of BaAlP2.

For the formation energy, the calculation gives -0.3523 eV/atom. The density of states at the Fermi level comes out at 2.58 states/eV/cell. Its space group is Cm, No. 8.

The structure in POSCAR format:
```
BaAlP2
1.0
5.6591 0.0120 0.0456
4.3527 3.6165 0.0456
0.8609 0.3120 5.0675
Al P Ba
1 2 1
Direct
0.4762 0.4762 0.6103
0.9891 0.9891 0.9047
0.8069 0.8069 0.7355
0.2278 0.2278 0.2496
```



Record 2
Density functional theory data (PBE) for an optimized crystal structure of BeBr2O.

The uncorrected formation energy comes out at 0.12 eV per atom. The value obtained for the energy above the lowest structure with this stoichiometry is 12.6 kJ/mol of atoms. The density of states at the Fermi level comes out at 0.00 states/eV/cell. Its space group is R-3m, No. 166.

The structure in POSCAR format:
```
BeBr2O
1.0
2.0671 0.0000 6.7076
-1.0335 1.7902 6.7076
-1.0335 -1.7902 6.7076
Br Be O
2 1 1
Direct
0.8992 0.8992 0.8992
0.1008 0.1008 0.1008
0.5000 0.5000 0.5000
0.0000 0.0000 0.0000
```



Record 3
Density functional theory data (PBE) for an optimized crystal structure of Ba7Sn2Bi2.

For the formation energy, the calculation gives -0.5805 eV/atom. The density of states at the Fermi level comes out at 8.67 states/eV/cell. Its space group is Cmmm, No. 65.

The structure in POSCAR format:
```
Ba7Sn2Bi2
1.0
8.4348 -0.0036 -0.2300
0.0039 8.4103 0.0036
-0.7551 -0.0034 8.4041
Sn Ba Bi
2 7 2
Direct
0.7268 0.0000 0.2732
0.2732 0.0000 0.7268
0.5002 0.7533 0.4998
0.4997 0.2596 0.0002
0.0000 0.0000 0.0000
0.0002 0.7404 0.4997
0.4998 0.2467 0.5002
0.5003 0.7404 0.9998
0.9998 0.2596 0.5003
0.7602 0.5000 0.7602
0.2398 0.5000 0.2398
```



Record 4
Density functional theory data (PBE) for an optimized crystal structure of Sc2SiRu.

The uncorrected formation energy comes out at -0.22 eV per atom. The density of states at the Fermi level comes out at 4.53 states/eV/cell. Its space group is R3m, No. 160.

The structure in POSCAR format:
```
Sc2SiRu
1.0
8.6063 0.1057 0.0627
7.9612 3.2707 0.0627
7.9612 1.6225 2.8406
Ru Sc Si
1 2 1
Direct
0.7631 0.7631 0.7631
0.2367 0.2367 0.2367
0.0119 0.0119 0.0119
0.4884 0.4884 0.4884
```



Record 5
Density functional theory data (PBE) for an optimized crystal structure of Pm2Ho4In.

The value obtained for the energy above the lowest structure with this stoichiometry is 0.0 kJ/mol of atoms. For the formation energy, the calculation gives -0.0474 eV/atom. The density of states at the Fermi level comes out at 17.37 states/eV/cell. Its space group is Pmna, No. 53.

The structure in POSCAR format:
```
Pm2Ho4In
1.0
-7.6762 -7.3477 1.2776
4.5027 -4.4633 1.3847
-0.3999 1.4737 6.0729
Ho Pm In
8 4 2
Direct
0.3456 0.4999 0.5681
0.7500 0.7499 0.9017
0.7500 0.2499 0.9017
0.6544 0.5001 0.4319
0.2500 0.2501 0.0983
0.1544 0.9999 0.5681
0.8456 0.0001 0.4319
0.2500 0.7501 0.0983
0.0423 0.4999 0.7441
0.5423 0.0001 0.2559
0.9577 0.5001 0.2559
0.4577 0.9999 0.7441
0.0000 0.0000 0.0000
0.5000 0.5000 0.0000
```



Record 6
Density functional theory data (PBE) for an optimized crystal structure of Mo2PbAu.

For the formation energy, the calculation gives 0.6476 eV/atom. The density of states at the Fermi level comes out at 3.10 states/eV/cell. Its space group is C2/m, No. 12.

The structure in POSCAR format:
```
Mo2PbAu
1.0
5.4332 0.0139 -0.0266
-2.4751 4.8367 -0.0266
0.3946 0.6470 2.7929
Pb Mo Au
1 2 1
Direct
0.5000 0.0000 0.5000
0.5000 0.5000 0.0000
0.0000 0.0000 0.0000
0.0000 0.5000 0.5000
```



Record 7
Density functional theory data (PBE) for an optimized crystal structure of CsRb2Ga3F12.

The uncorrected formation energy comes out at -2.74 eV per atom. The density of states at the Fermi level comes out at 0.00 states/eV/cell. Its space group is R-3m, No. 166.

The structure in POSCAR format:
```
CsRb2Ga3F12
1.0
7.6448 0.1087 0.0771
3.8699 6.5938 0.0771
3.8699 2.2526 6.1976
F Ga Rb Cs
12 3 2 1
Direct
0.2760 0.2760 0.8929
0.1259 0.1259 0.5336
0.7240 0.7240 0.1071
0.8741 0.4664 0.8741
0.1259 0.5336 0.1259
0.1071 0.7240 0.7240
0.7240 0.1071 0.7240
0.8929 0.2760 0.2760
0.2760 0.8929 0.2760
0.5336 0.1259 0.1259
0.4664 0.8741 0.8741
0.8741 0.8741 0.4664
0.5000 0.0000 0.0000
0.0000 0.5000 0.0000
0.0000 0.0000 0.5000
0.6219 0.6219 0.6219
0.3781 0.3781 0.3781
0.0000 0.0000 0.0000
```



Record 8
Density functional theory data (PBE) for an optimized crystal structure of Cu3AgF7.

The uncorrected formation energy comes out at -1.36 eV per atom. The density of states at the Fermi level comes out at 4.01 states/eV/cell. Its space group is C2/m, No. 12.

The structure in POSCAR format:
```
Cu3AgF7
1.0
-5.3130 -2.3256 -0.2571
3.2414 -2.5709 3.5688
0.3852 3.9317 3.7744
F Cu Ag
7 3 1
Direct
0.2408 0.7006 0.1062
0.0000 0.5000 0.5000
0.2462 0.1726 0.1726
0.2408 0.1062 0.7006
0.7592 0.2994 0.8938
0.7538 0.8274 0.8274
0.7592 0.8938 0.2994
0.0000 0.7814 0.2186
0.0000 0.2186 0.7814
0.5000 0.0000 0.0000
0.5000 0.5000 0.5000
```